VASP calculation (PBE-GGA) on a relaxed structure of La3OsCl2.

Values from the calculation:
formation energy without anion corrections	-1.172	eV per atom

a = 4.0912 Å, b = 6.0489 Å, c = 7.8064 Å
α = 112.79°, β = 105.19°, γ = 90.00°
With the nearest neighbours (Å) after each atom.
Fractional coordinates of all 6 atoms:
La 0.0000 0.0000 0.0000  2 Os 3.02, 4 Cl 3.15
La 0.6366 0.6366 0.2732  2 Os 2.78, 2 Cl 3.07
Cl 0.6738 0.1738 0.3475  6 La 3.07-3.32
Os 0.0000 0.5000 0.0000  6 La 2.78-3.02
La 0.3634 0.3634 0.7268  2 Os 2.78, 2 Cl 3.07
Cl 0.3262 0.8262 0.6525  6 La 3.07-3.32